(1)
This record from Alexandria describes an optimized crystal structure of Li2Ca2Ac3In4. The functional is GGA-PBE.

Output
Energy of formation in meV/atom: -256
Space-group type: P-3m1 (164)

Structure (POSCAR):
```
Li2Ca2Ac3In4
1.0
5.303 0.000 0.000
-2.652 4.593 0.000
0.000 0.000 14.930
Li Ca Ac In
2 2 3 4
Direct
0.333 0.667 0.132 Li
0.667 0.333 0.868 Li
0.333 0.667 0.574 Ca
0.667 0.333 0.426 Ca
0.000 0.000 0.000 Ac
0.000 0.000 0.250 Ac
0.000 0.000 0.750 Ac
0.333 0.667 0.348 In
0.333 0.667 0.877 In
0.667 0.333 0.123 In
0.667 0.333 0.652 In
```

***

(2)
This record from Alexandria describes an optimized crystal structure of InSnAu. The functional is GGA-PBE.

Output
Energy of formation in meV/atom: -95
Space-group type: P4/nmm (129)

Structure (POSCAR):
```
InSnAu
1.0
4.346 0.000 0.000
0.000 4.346 0.000
0.000 0.000 7.575
In Sn Au
2 2 2
Direct
0.250 0.750 0.000 In
0.750 0.250 0.000 In
0.250 0.250 0.367 Sn
0.750 0.750 0.633 Sn
0.250 0.250 0.735 Au
0.750 0.750 0.265 Au
```

***

(3)
This record from Alexandria describes an optimized crystal structure of GaNi7Sb2H2. The functional is GGA-PBE.

Output
Total DFT energy (no corrections) in eV/cell: -61.07
Space-group type: C2/m (12)

Structure (POSCAR):
```
GaNi7Sb2H2
1.0
2.620 -2.622 0.000
2.620 2.622 0.000
-2.617 0.000 10.006
Ga Ni Sb H
1 7 2 2
Direct
0.000 0.000 0.000 Ga
0.089 0.589 0.178 Ni
0.322 0.322 0.644 Ni
0.411 0.911 0.822 Ni
0.500 0.500 0.000 Ni
0.589 0.089 0.178 Ni
0.678 0.678 0.356 Ni
0.911 0.411 0.822 Ni
0.191 0.191 0.383 Sb
0.809 0.809 0.617 Sb
0.414 0.414 0.827 H
0.586 0.586 0.173 H
```

***

| no. | DOS at the Fermi energy (states/eV/cell) |
| --- | --- |
| 1 | 14.1 |
| 2 | 2.3 |
| 3 | 3.8 |